(1)
The following is a GGA-PBEsol calculation of SnMoO2F after structural relaxation, from Alexandria via LeMat-Bulk.

Lattice parameters (Å, degrees): 3.915 3.915 4.312 90.00 90.00 90.00
Space group P4/mmm (No. 123)
Unique sites:
Sn 0.000 0.000 0.000 (multiplicity 1)
Mo 0.500 0.500 0.500 (multiplicity 1)
O 0.000 0.500 0.500 (multiplicity 2)
F 0.500 0.500 0.000 (multiplicity 1)

Calculated values
Total energy = -35.41 eV/cell
Magnetic moment = 0.0 Bohr magnetons per cell


(2)
The following is a GGA-PBEsol calculation of CrAgOs2 after structural relaxation, from Alexandria via LeMat-Bulk.

Lattice parameters (Å, degrees): 2.6918 2.6918 26.7300 90.00 90.00 120.00
Space group R-3m (No. 166, hexagonal axes)
Unique sites:
Cr 0.0000 0.0000 0.0000 (multiplicity 3)
Ag 0.0000 0.0000 0.5000 (multiplicity 3)
Os 0.0000 0.0000 0.2585 (multiplicity 6)

Calculated values
Magnetic moment = 0.0 Bohr magnetons per cell
Energy of formation = 26.4 kJ per mole of atoms
Distance to the lowest polymorph of the same formula = 0 meV/atom


(3)
The following is a GGA-PBEsol calculation of Zn3NiSe after structural relaxation, from Alexandria via LeMat-Bulk.

Lattice parameters (Å, degrees): 4.493 4.493 4.493 90.00 90.00 90.00
Space group Pm-3m (No. 221)
Unique sites:
Zn 0.000 0.000 0.500 (multiplicity 3)
Ni 0.000 0.000 0.000 (multiplicity 1)
Se 0.500 0.500 0.500 (multiplicity 1)

Calculated values
Total energy = -13.21 eV/cell
Magnetic moment = 0.0 Bohr magnetons per cell


(4)
The following is a GGA-PBEsol calculation of BaLiZn4 after structural relaxation, from Alexandria via LeMat-Bulk.

Lattice parameters (Å, degrees): 7.822 7.822 7.822 90.00 90.00 90.00
Space group F-43m (No. 216)
Unique sites:
Ba 0.000 0.000 0.000 (multiplicity 4)
Li 0.250 0.250 0.250 (multiplicity 4)
Zn 0.122 0.122 0.622 (multiplicity 16)

Calculated values
Magnetic moment = 0.0 Bohr magnetons per cell
Energy of formation = -10.7 kJ per mole of atoms


(5)
The following is a GGA-PBEsol calculation of As2PdRhBr after structural relaxation, from Alexandria via LeMat-Bulk.

Lattice parameters (Å, degrees): 4.704 4.704 4.965 90.00 90.00 90.00
Space group P4/mmm (No. 123)
Unique sites:
As 0.000 0.500 0.000 (multiplicity 2)
Pd 0.000 0.000 0.000 (multiplicity 1)
Rh 0.500 0.500 0.500 (multiplicity 1)
Br 0.000 0.000 0.500 (multiplicity 1)

Calculated values
Total energy = -21.46 eV/cell
Magnetic moment = 0.7 Bohr magnetons per cell


(6)
The following is a GGA-PBEsol calculation of HgSeCl after structural relaxation, from Alexandria via LeMat-Bulk.

Lattice parameters (Å, degrees): 3.889 3.889 11.147 90.00 90.00 90.00
Space group I4mm (No. 107)
Unique sites:
Hg 0.000 0.000 0.000 (multiplicity 2)
Se 0.000 0.000 0.544 (multiplicity 2)
Cl 0.000 0.000 0.763 (multiplicity 2)

Calculated values
Total energy = -12.82 eV/cell
Magnetic moment = 0.0 Bohr magnetons per cell


(7)
The following is a GGA-PBEsol calculation of NbGeH2Pd after structural relaxation, from Alexandria via LeMat-Bulk.

Lattice parameters (Å, degrees): 3.602 3.602 5.395 90.00 90.00 90.00
Space group P4/mmm (No. 123)
Unique sites:
Nb 0.000 0.000 0.000 (multiplicity 1)
Ge 0.000 0.000 0.500 (multiplicity 1)
H 0.000 0.500 0.500 (multiplicity 2)
Pd 0.500 0.500 0.000 (multiplicity 1)

Calculated values
Total energy = -25.01 eV/cell
Magnetic moment = 0.0 Bohr magnetons per cell


(8)
The following is a GGA-PBEsol calculation of LiGa3Os after structural relaxation, from Alexandria via LeMat-Bulk.

Lattice parameters (Å, degrees): 4.767 4.767 4.767 90.00 90.00 90.00
Space group Pm-3m (No. 221)
Unique sites:
Li 0.000 0.000 0.000 (multiplicity 1)
Ga 0.000 0.500 0.500 (multiplicity 3)
Os 0.500 0.500 0.500 (multiplicity 1)

Calculated values
Magnetic moment = 0.0 Bohr magnetons per cell
Energy of formation = -4.7 kJ per mole of atoms


(9)
The following is a GGA-PBEsol calculation of CaMg14VO16 after structural relaxation, from Alexandria via LeMat-Bulk.

Lattice parameters (Å, degrees): 4.282 8.512 8.540 90.00 90.00 90.00
Space group Pmmm (No. 47)
Unique sites:
Ca 0.000 0.000 0.000 (multiplicity 1)
Mg 0.000 0.253 0.253 (multiplicity 4)
Mg 0.000 0.500 0.000 (multiplicity 1)
Mg 0.000 0.500 0.500 (multiplicity 1)
Mg 0.500 0.000 0.255 (multiplicity 2)
Mg 0.500 0.250 0.500 (multiplicity 2)
Mg 0.500 0.255 0.000 (multiplicity 2)
Mg 0.500 0.500 0.251 (multiplicity 2)
V 0.000 0.000 0.500 (multiplicity 1)
O 0.000 0.000 0.259 (multiplicity 2)
O 0.000 0.254 0.500 (multiplicity 2)
O 0.000 0.264 0.000 (multiplicity 2)
O 0.000 0.500 0.253 (multiplicity 2)
O 0.500 0.000 0.000 (multiplicity 1)
O 0.500 0.000 0.500 (multiplicity 1)
O 0.500 0.250 0.250 (multiplicity 4)
O 0.500 0.500 0.000 (multiplicity 1)
O 0.500 0.500 0.500 (multiplicity 1)

Calculated values
Total energy = -204.60 eV/cell
Magnetic moment = 3.0 Bohr magnetons per cell


(10)
The following is a GGA-PBEsol calculation of Nd4Mg3Co2 after structural relaxation, from Alexandria via LeMat-Bulk.

Lattice parameters (Å, degrees): 7.547 3.767 8.217 90.00 109.91 90.00
Space group P2/m (No. 10)
Unique sites:
Nd 0.097 0.000 0.223 (multiplicity 2)
Nd 0.398 0.000 0.679 (multiplicity 2)
Mg 0.000 0.500 0.500 (multiplicity 1)
Mg 0.295 0.500 0.002 (multiplicity 2)
Co 0.349 0.500 0.393 (multiplicity 2)

Calculated values
Magnetic moment = 0.0 Bohr magnetons per cell
Energy of formation = -9.4 kJ per mole of atoms


(11)
The following is a GGA-PBEsol calculation of ZnHgBr2 after structural relaxation, from Alexandria via LeMat-Bulk.

Lattice parameters (Å, degrees): 3.517 6.560 9.014 90.00 90.00 90.00
Space group Imm2 (No. 44)
Unique sites:
Zn 0.000 0.000 0.000 (multiplicity 2)
Hg 0.000 0.500 0.724 (multiplicity 2)
Br 0.000 0.000 0.468 (multiplicity 2)
Br 0.000 0.500 0.307 (multiplicity 2)

Calculated values
Magnetic moment = 0.0 Bohr magnetons per cell
Distance to the lowest polymorph of the same formula = 233 meV/atom


(12)
The following is a GGA-PBEsol calculation of HgGeTe3 after structural relaxation, from Alexandria via LeMat-Bulk.

Lattice parameters (Å, degrees): 5.480 5.480 5.480 90.00 90.00 90.00
Space group Pm-3m (No. 221)
Unique sites:
Hg 0.000 0.000 0.000 (multiplicity 1)
Ge 0.500 0.500 0.500 (multiplicity 1)
Te 0.000 0.000 0.500 (multiplicity 3)

Calculated values
Total energy = -12.36 eV/cell
Magnetic moment = 0.0 Bohr magnetons per cell


(13)
The following is a GGA-PBEsol calculation of LaSe3S after structural relaxation, from Alexandria via LeMat-Bulk.

Lattice parameters (Å, degrees): 5.730 5.730 5.730 90.00 90.00 90.00
Space group Pm-3m (No. 221)
Unique sites:
La 0.000 0.000 0.000 (multiplicity 1)
Se 0.000 0.000 0.500 (multiplicity 3)
S 0.500 0.500 0.500 (multiplicity 1)

Calculated values
Total energy = -19.66 eV/cell
Magnetic moment = 4.7 Bohr magnetons per cell


(14)
The following is a GGA-PBEsol calculation of CrPRu2S after structural relaxation, from Alexandria via LeMat-Bulk.

Lattice parameters (Å, degrees): 4.411 4.411 4.167 90.00 90.00 90.00
Space group P4/mmm (No. 123)
Unique sites:
Cr 0.000 0.000 0.000 (multiplicity 1)
P 0.000 0.000 0.500 (multiplicity 1)
Ru 0.000 0.500 0.000 (multiplicity 2)
S 0.500 0.500 0.500 (multiplicity 1)

Calculated values
Total energy = -34.66 eV/cell
Magnetic moment = 0.0 Bohr magnetons per cell


(15)
The following is a GGA-PBEsol calculation of LaCS2 after structural relaxation, from Alexandria via LeMat-Bulk.

Lattice parameters (Å, degrees): 4.2096 4.2096 19.0675 90.00 90.00 120.00
Space group R-3m (No. 166, hexagonal axes)
Unique sites:
La 0.0000 0.0000 0.0000 (multiplicity 3)
C 0.0000 0.0000 0.5000 (multiplicity 3)
S 0.0000 0.0000 0.4154 (multiplicity 6)

Calculated values
Total energy = -71.69 eV/cell
Magnetic moment = 1.5 Bohr magnetons per cell


(16)
The following is a GGA-PBEsol calculation of KDy3F10 after structural relaxation, from Alexandria via LeMat-Bulk.

Lattice parameters (Å, degrees): 11.471 11.471 11.471 90.00 90.00 90.00
Space group Fm-3m (No. 225)
Unique sites:
K 0.250 0.250 0.250 (multiplicity 8)
Dy 0.000 0.000 0.240 (multiplicity 24)
F 0.000 0.166 0.334 (multiplicity 48)
F 0.112 0.112 0.112 (multiplicity 32)

Calculated values
Total energy = -734.32 eV/cell
Magnetic moment = 0.4 Bohr magnetons per cell


(17)
The following is a GGA-PBEsol calculation of RbFeO2 after structural relaxation, from Alexandria via LeMat-Bulk.

Lattice parameters (Å, degrees): 5.731 5.731 8.306 90.00 90.00 90.00
Space group P4_12_12 (No. 92)
Unique sites:
Rb 0.229 0.229 0.000 (multiplicity 4)
Fe 0.212 0.212 0.500 (multiplicity 4)
O 0.100 0.753 0.931 (multiplicity 8)

Calculated values
Total energy = -102.67 eV/cell
Magnetic moment = 19.3 Bohr magnetons per cell


(18)
The following is a GGA-PBEsol calculation of Tl2SnTe5 after structural relaxation, from Alexandria via LeMat-Bulk.

Lattice parameters (Å, degrees): 8.189 8.189 15.034 90.00 90.00 90.00
Space group I4/mcm (No. 140)
Unique sites:
Tl 0.000 0.000 0.000 (multiplicity 4)
Tl 0.000 0.000 0.250 (multiplicity 4)
Sn 0.000 0.500 0.250 (multiplicity 4)
Te 0.000 0.500 0.000 (multiplicity 4)
Te 0.191 0.309 0.134 (multiplicity 16)

Calculated values
Total energy = -113.67 eV/cell
Magnetic moment = 0.0 Bohr magnetons per cell


(19)
The following is a GGA-PBEsol calculation of CrAgW2 after structural relaxation, from Alexandria via LeMat-Bulk.

Lattice parameters (Å, degrees): 3.194 4.338 8.527 90.00 90.00 90.00
Space group Immm (No. 71)
Unique sites:
Cr 0.000 0.000 0.000 (multiplicity 2)
Ag 0.000 0.000 0.500 (multiplicity 2)
W 0.000 0.500 0.270 (multiplicity 4)

Calculated values
Magnetic moment = 0.0 Bohr magnetons per cell
Energy of formation = 50.9 kJ per mole of atoms
Distance to the lowest polymorph of the same formula = 4 meV/atom


(20)
The following is a GGA-PBEsol calculation of SrLi3Ni after structural relaxation, from Alexandria via LeMat-Bulk.

Lattice parameters (Å, degrees): 4.787 4.787 4.787 90.00 90.00 90.00
Space group Pm-3m (No. 221)
Unique sites:
Sr 0.000 0.000 0.000 (multiplicity 1)
Li 0.000 0.500 0.500 (multiplicity 3)
Ni 0.500 0.500 0.500 (multiplicity 1)

Calculated values
Magnetic moment = 0.0 Bohr magnetons per cell
Energy of formation = 18.3 kJ per mole of atoms